The following is a DFT calculation (GGA-PBE) of a geometry-optimized Ga2AsH2 structure.

Values from the calculation:
The value obtained for the final energy is -14.9 eV per formula unit. The space group is P4/mbm. The density of states at the Fermi level is 2.74 states/eV per cell.

Geometry as extended XYZ:
```
10
Lattice="6.8042 0.0000 0.0000 0.0000 6.8042 0.0000 0.0000 0.0000 2.8179" Properties=species:S:1:pos:R:3 pbc="T T T"
Ga 0.9596 2.4425 0.0000
Ga 2.4425 5.8446 0.0000
Ga 4.3617 0.9596 0.0000
Ga 5.8446 4.3617 0.0000
As 0.0000 0.0000 1.4089
As 3.4021 3.4021 1.4089
H 0.7272 4.1293 1.4089
H 2.6748 0.7272 1.4089
H 4.1293 6.0769 1.4089
H 6.0769 2.6748 1.4089
```